No. 1
BeIn2IrI (PBE, relaxed); raw formation energy = 4 meV per atom; E_tot = -3.919 eV per atom; SG = P4/mmm, No. 123
1.0
5.425 0.000 0.000
0.000 5.425 0.000
0.000 0.000 4.383
I Be Ir In
1 1 1 2
Direct
0.500 0.500 0.500
0.000 0.000 0.500
0.000 0.000 0.000
0.000 0.500 0.000
0.500 0.000 0.000

No. 2
HgPdSe (PBE, relaxed); raw formation energy = -83 meV per atom; excess energy over the best structure of this formula in the dataset = 146.6 meV/atom; E_tot = -3.076 eV per atom; SG = P3m1, No. 156
1.0
3.704 0.000 0.000
-1.852 3.208 0.000
0.000 0.000 5.451
Se Hg Pd
1 1 1
Direct
0.667 0.333 0.387
0.000 0.000 0.981
0.333 0.667 0.632

No. 3
LiMg2TaSe (PBE, relaxed); raw formation energy = 756 meV per atom; E_tot = -3.332 eV per atom; SG = P4/mmm, No. 123
1.0
4.601 0.000 0.000
0.000 4.723 0.000
0.000 0.000 4.601
Mg Li Se Ta
2 1 1 1
Direct
0.000 0.000 0.500
0.500 0.000 0.000
0.000 0.000 0.000
0.500 0.500 0.500
0.000 0.500 0.000

No. 4
TbSc2Ir9 (PBE, relaxed); E_tot = -8.630 eV per atom; SG = R-3m, No. 166; E_form = -0.543 eV/atom
1.0
-3.345 -0.760 3.974
-4.108 -3.212 -0.605
2.312 -7.977 3.887
Tb Sc Ir
1 2 9
Direct
0.000 0.000 0.000
0.860 0.860 0.419
0.140 0.140 0.581
0.666 0.666 0.001
0.334 0.334 0.999
0.500 0.500 0.500
0.415 0.415 0.252
0.918 0.415 0.252
0.415 0.918 0.252
0.585 0.585 0.748
0.585 0.082 0.748
0.082 0.585 0.748

No. 5
CrRe2Hg (PBE, relaxed); E_tot = -8.005 eV per atom; SG = P4/mmm, No. 123; E_form = 0.701 eV/atom
1.0
4.104 0.000 0.000
0.000 3.889 0.000
0.000 0.000 3.889
Cr Hg Re
1 1 2
Direct
0.500 0.500 0.000
0.500 0.000 0.500
0.000 0.000 0.000
0.000 0.500 0.500

No. 6
Ce2Ga4Cu3Ir (PBE, relaxed); E_tot = -4.967 eV per atom; SG = P-4m2, No. 115; E_form = -0.454 eV/atom
1.0
-1.512 0.162 -3.945
-3.921 -0.562 1.480
-1.115 9.988 0.838
Ce Ga Cu Ir
2 4 3 1
Direct
0.500 0.000 0.254
0.000 0.500 0.746
0.500 0.500 0.000
0.000 0.000 0.000
0.500 0.000 0.632
0.000 0.500 0.368
0.000 0.000 0.500
0.500 0.000 0.871
0.000 0.500 0.129
0.500 0.500 0.500